CuP3O9: relaxed, GGA-PBE.

Lattice parameters (Å, degrees): 7.3364 7.3364 9.4453 122.65 122.65 52.42
Element x y z (fractional)
Cu  0.2406  0.7594  0.5000
Cu  0.7594  0.2406  0.0000
P  0.2054  0.3060  0.7626
P  0.3060  0.2054  0.2626
P  0.5505  0.7225  0.3220
P  0.7225  0.5505  0.8220
P  0.7617  0.9654  0.1770
P  0.9654  0.7617  0.6770
O  0.0036  0.4412  0.8543
O  0.0889  0.8626  0.6722
O  0.1081  0.1708  0.0905
O  0.1626  0.5067  0.7113
O  0.1708  0.1081  0.5905
O  0.2489  0.4389  0.4115
O  0.3804  0.6742  0.3244
O  0.4389  0.2489  0.9115
O  0.4412  0.0036  0.3543
O  0.5067  0.1626  0.2113
O  0.5807  0.6234  0.6564
O  0.6234  0.5807  0.1564
O  0.6742  0.3804  0.8244
O  0.6770  0.7893  0.9881
O  0.7893  0.6770  0.4881
O  0.8353  0.9184  0.8125
O  0.8626  0.0889  0.1722
O  0.9184  0.8353  0.3125

Output
- symmetry = Cc, No. 9
- distance to the lowest polymorph of the same formula (eV/atom) = 0.000
- E_form (uncorrected) (eV per atom) = -1.714

---

ScTiRu2: relaxed, GGA-PBE.

Lattice parameters (Å, degrees): 6.8439 6.8439 5.7760 90.00 90.00 90.00
Element x y z (fractional)
Sc  0.0000  0.0000  0.0000
Sc  0.0000  0.5000  0.2500
Sc  0.5000  0.0000  0.7500
Sc  0.5000  0.5000  0.5000
Ti  0.0000  0.0000  0.5000
Ti  0.0000  0.5000  0.7500
Ti  0.5000  0.0000  0.2500
Ti  0.5000  0.5000  0.0000
Ru  0.2259  0.2500  0.6250
Ru  0.2500  0.7259  0.8750
Ru  0.2500  0.7741  0.3750
Ru  0.2741  0.2500  0.1250
Ru  0.7259  0.7500  0.1250
Ru  0.7500  0.2259  0.3750
Ru  0.7500  0.2741  0.8750
Ru  0.7741  0.7500  0.6250

Output
- calculated formation energy (eV/atom) = -0.0244
- symmetry = I-42d, No. 122
- distance to the lowest polymorph of the same formula (eV/atom) = 0.654

---

BaAlRu2: relaxed, GGA-PBE.

Lattice parameters (Å, degrees): 4.4000 4.4000 17.6241 90.00 90.00 120.00
Element x y z (fractional)
Ba  0.0000  0.0000  0.0000
Ba  0.3333  0.6667  0.6667
Ba  0.6667  0.3333  0.3333
Al  0.0000  0.0000  0.8174
Al  0.3333  0.6667  0.4841
Al  0.6667  0.3333  0.1508
Ru  0.0000  0.0000  0.1822
Ru  0.0000  0.0000  0.5071
Ru  0.3333  0.6667  0.1738
Ru  0.3333  0.6667  0.8488
Ru  0.6667  0.3333  0.5155
Ru  0.6667  0.3333  0.8405

Output
- calculated formation energy (eV/atom) = -0.0653
- symmetry = R3m, No. 160

---

TaCuSi2: relaxed, GGA-PBE.

Lattice parameters (Å, degrees): 3.5923 3.6396 8.6080 90.00 90.00 90.00
Element x y z (fractional)
Ta  0.0000  0.0000  0.0000
Ta  0.5000  0.5000  0.5000
Cu  0.0000  0.5000  0.7475
Cu  0.5000  0.0000  0.2475
Si  0.0000  0.0000  0.4572
Si  0.0000  0.5000  0.2383
Si  0.5000  0.0000  0.7383
Si  0.5000  0.5000  0.9572

Output
- symmetry = Imm2, No. 44
- E_form (uncorrected) (eV per atom) = -0.169

---

AlCrRe: relaxed, GGA-PBE.

Lattice parameters (Å, degrees): 6.6398 6.6398 6.1169 90.00 90.00 142.72
Element x y z (fractional)
Al  0.0899  0.9101  0.8718
Al  0.4101  0.5899  0.3718
Al  0.5899  0.4101  0.6282
Al  0.9101  0.0899  0.1282
Cr  0.2494  0.7506  0.6219
Cr  0.2506  0.7494  0.1219
Cr  0.7494  0.2506  0.8781
Cr  0.7506  0.2494  0.3781
Re  0.0848  0.9152  0.3784
Re  0.4152  0.5848  0.8784
Re  0.5848  0.4152  0.1216
Re  0.9152  0.0848  0.6216

Output
- calculated formation energy (eV/atom) = -0.0690
- symmetry = Cmce, No. 64
- distance to the lowest polymorph of the same formula (eV/atom) = 0.154

---

SmTlSe2O6: relaxed, GGA-PBE.

Lattice parameters (Å, degrees): 6.9708 6.9708 7.7898 106.47 106.47 91.01
Element x y z (fractional)
Sm  0.0882  0.9118  0.7500
Sm  0.9118  0.0882  0.2500
Tl  0.4924  0.5076  0.2500
Tl  0.5076  0.4924  0.7500
Se  0.0163  0.3813  0.7794
Se  0.3813  0.0163  0.2794
Se  0.6187  0.9837  0.7206
Se  0.9837  0.6187  0.2206
O  0.0775  0.8250  0.4219
O  0.1273  0.5617  0.7165
O  0.1750  0.9225  0.0781
O  0.2191  0.2689  0.8817
O  0.2689  0.2191  0.3817
O  0.4383  0.8727  0.7835
O  0.5617  0.1273  0.2165
O  0.7311  0.7809  0.6183
O  0.7809  0.7311  0.1183
O  0.8250  0.0775  0.9219
O  0.8727  0.4383  0.2835
O  0.9225  0.1750  0.5781

Output
- symmetry = C2/c, No. 15
- E_form (uncorrected) (eV per atom) = -1.558

---

Number 1: uncorrected energy -174.46 eV/cell. Number 2: uncorrected energy -131.50 eV/cell. Number 3: uncorrected energy -73.43 eV/cell. Number 4: uncorrected energy -54.94 eV/cell. Number 5: uncorrected energy -104.08 eV/cell. Number 6: uncorrected energy -118.76 eV/cell.